[1]
Here is a geometry-optimized GeC3F structure from the Alexandria database. Energies are from GGA-PBE. Values from VASP.

## Properties
Final energy   -20.6 eV per cell
Excess energy over the best structure of this formula in the dataset   0 meV/atom

Quantum ESPRESSO input file:
```
&SYSTEM
  ibrav = 0, nat = 5, ntyp = 3
/
ATOMIC_SPECIES
C 12.01 C.upf
Ge 72.64 Ge.upf
F 19.00 F.upf
CELL_PARAMETERS angstrom
-0.508 3.908 0.533
-2.677 0.053 -2.941
-2.897 -0.735 2.624
ATOMIC_POSITIONS angstrom
C -1.449 -0.367 1.312
Ge 0.000 0.000 0.000
F -3.041 1.613 0.108
C -1.338 0.027 -1.471
C -0.254 1.954 0.267
```



[2]
Here is a geometry-optimized GeCF2 structure from the Alexandria database. Energies are from GGA-PBE. Values from VASP.

## Properties
Final energy   -15.3 eV per cell
Excess energy over the best structure of this formula in the dataset   49 meV/atom

Quantum ESPRESSO input file:
```
&SYSTEM
  ibrav = 0, nat = 4, ntyp = 3
/
ATOMIC_SPECIES
C 12.01 C.upf
Ge 72.64 Ge.upf
F 19.00 F.upf
CELL_PARAMETERS angstrom
0.195 -3.390 2.297
-3.430 -2.041 0.938
-0.731 -3.665 -1.687
ATOMIC_POSITIONS angstrom
C 0.000 0.000 0.000
Ge -1.983 -4.548 0.774
F -2.975 -6.822 1.161
F -0.992 -2.274 0.387
```



[3]
Here is a geometry-optimized GeCF3 structure from the Alexandria database. Energies are from GGA-PBE. Values from VASP.

## Properties
Final energy   -19.0 eV per cell
Excess energy over the best structure of this formula in the dataset   184 meV/atom

Quantum ESPRESSO input file:
```
&SYSTEM
  ibrav = 0, nat = 5, ntyp = 3
/
ATOMIC_SPECIES
C 12.01 C.upf
Ge 72.64 Ge.upf
F 19.00 F.upf
CELL_PARAMETERS angstrom
3.959 0.000 0.000
0.000 3.959 0.000
0.000 0.000 3.959
ATOMIC_POSITIONS angstrom
C 0.000 0.000 0.000
Ge 1.980 1.980 1.980
F 0.000 0.000 1.980
F 0.000 1.980 0.000
F 1.980 0.000 0.000
```



[4]
Here is a geometry-optimized HgGeCF2 structure from the Alexandria database. Energies are from GGA-PBE. Values from VASP.

## Properties
Final energy   -18.8 eV per cell

Quantum ESPRESSO input file:
```
&SYSTEM
  ibrav = 0, nat = 5, ntyp = 4
/
ATOMIC_SPECIES
F 19.00 F.upf
Ge 72.64 Ge.upf
Hg 200.59 Hg.upf
C 12.01 C.upf
CELL_PARAMETERS angstrom
4.017 0.000 0.000
0.000 4.195 0.000
0.000 0.000 4.017
ATOMIC_POSITIONS angstrom
F 2.008 0.000 0.000
Ge 0.000 0.000 0.000
F 0.000 0.000 2.008
Hg 2.008 2.098 2.008
C 0.000 2.098 0.000
```



[5]
Here is a geometry-optimized Ge2IrCF structure from the Alexandria database. Energies are from GGA-PBE. Values from VASP.

## Properties
Final energy   -21.2 eV per cell

Quantum ESPRESSO input file:
```
&SYSTEM
  ibrav = 0, nat = 5, ntyp = 4
/
ATOMIC_SPECIES
Ir 192.22 Ir.upf
C 12.01 C.upf
F 19.00 F.upf
Ge 72.64 Ge.upf
CELL_PARAMETERS angstrom
-2.946 -1.851 2.896
0.541 -4.017 -2.016
3.052 -0.868 2.549
ATOMIC_POSITIONS angstrom
Ir 1.526 -0.434 1.274
C 0.323 -3.368 1.715
F 0.000 0.000 0.000
Ge 0.271 -2.008 -1.008
Ge -1.473 -0.925 1.448
```



[6]
Here is a geometry-optimized KGe2CF structure from the Alexandria database. Energies are from GGA-PBE. Values from VASP.

## Properties
Final energy   -16.8 eV per cell

Quantum ESPRESSO input file:
```
&SYSTEM
  ibrav = 0, nat = 5, ntyp = 4
/
ATOMIC_SPECIES
Ge 72.64 Ge.upf
F 19.00 F.upf
K 39.10 K.upf
C 12.01 C.upf
CELL_PARAMETERS angstrom
-4.295 0.463 1.018
-1.420 -3.289 -4.493
0.221 -3.610 2.572
ATOMIC_POSITIONS angstrom
Ge -2.147 0.231 0.509
Ge 0.111 -1.805 1.286
F 0.000 0.000 0.000
K -2.747 -3.218 -0.451
C -0.710 -1.644 -2.247
```



[7]
Here is a geometry-optimized LiGe2CF structure from the Alexandria database. Energies are from GGA-PBE. Values from VASP.

## Properties
Final energy   -17.8 eV per cell

Quantum ESPRESSO input file:
```
&SYSTEM
  ibrav = 0, nat = 5, ntyp = 4
/
ATOMIC_SPECIES
C 12.01 C.upf
Li 6.94 Li.upf
Ge 72.64 Ge.upf
F 19.00 F.upf
CELL_PARAMETERS angstrom
4.523 0.000 0.000
0.000 3.967 0.000
0.000 0.000 4.523
ATOMIC_POSITIONS angstrom
C 0.000 1.984 0.000
Li 2.262 1.984 2.262
Ge 0.000 0.000 2.262
Ge 2.262 0.000 0.000
F 0.000 0.000 0.000
```



[8]
Here is a geometry-optimized GeCN2F structure from the Alexandria database. Energies are from GGA-PBE. Values from VASP.

## Properties
Final energy   -25.7 eV per cell
Excess energy over the best structure of this formula in the dataset   0 meV/atom

Quantum ESPRESSO input file:
```
&SYSTEM
  ibrav = 0, nat = 5, ntyp = 4
/
ATOMIC_SPECIES
Ge 72.64 Ge.upf
C 12.01 C.upf
N 14.01 N.upf
F 19.00 F.upf
CELL_PARAMETERS angstrom
-0.356 2.933 -1.196
-3.154 -0.437 -0.135
-0.443 1.796 4.535
ATOMIC_POSITIONS angstrom
Ge -1.976 2.146 1.602
C 0.000 0.000 0.000
N -0.178 1.466 -0.598
N -1.577 -0.219 -0.067
F -0.221 0.898 2.267
```



[9]
Here is a geometry-optimized GeC2N6F6 structure from the Alexandria database. Energies are from GGA-PBE. Values from VASP.

## Properties
Final energy   -82.2 eV per cell

Quantum ESPRESSO input file:
```
&SYSTEM
  ibrav = 0, nat = 15, ntyp = 4
/
ATOMIC_SPECIES
N 14.01 N.upf
F 19.00 F.upf
Ge 72.64 Ge.upf
C 12.01 C.upf
CELL_PARAMETERS angstrom
-4.465 -5.425 1.029
-2.109 -4.756 -4.833
3.581 -6.394 0.710
ATOMIC_POSITIONS angstrom
N -0.795 -7.549 -1.181
N -2.015 -6.126 -0.136
F -4.747 -7.297 -1.259
F -0.236 -10.776 -1.325
Ge -1.807 -10.453 -1.919
N -4.416 -8.184 -4.102
F -3.734 -7.009 -3.782
F -1.759 -9.450 -3.308
F -2.537 -11.938 -2.382
C -1.373 -6.344 -1.276
C -5.382 -8.443 -3.127
N -5.369 -8.455 -1.729
N -2.929 -15.211 -2.913
N -1.075 -5.859 -2.474
F -2.802 -9.746 -0.715
```



[10]
Here is a geometry-optimized GeCN2F structure from the Alexandria database. Energies are from GGA-PBE. Values from VASP.

## Properties
Final energy   -23.7 eV per cell
Excess energy over the best structure of this formula in the dataset   409 meV/atom

Quantum ESPRESSO input file:
```
&SYSTEM
  ibrav = 0, nat = 5, ntyp = 4
/
ATOMIC_SPECIES
C 12.01 C.upf
F 19.00 F.upf
Ge 72.64 Ge.upf
N 14.01 N.upf
CELL_PARAMETERS angstrom
-3.027 -1.403 -1.849
1.735 -3.387 -0.270
-1.511 -1.034 3.257
ATOMIC_POSITIONS angstrom
C -1.402 -2.912 0.569
F -0.756 -0.517 1.629
Ge 0.000 0.000 0.000
N 0.867 -1.693 -0.135
N -1.513 -0.702 -0.925
```



[11]
Here is a geometry-optimized Nb2GeCF structure from the Alexandria database. Energies are from GGA-PBE. Values from VASP.

## Properties
Final energy   -28.9 eV per cell

Quantum ESPRESSO input file:
```
&SYSTEM
  ibrav = 0, nat = 5, ntyp = 4
/
ATOMIC_SPECIES
C 12.01 C.upf
F 19.00 F.upf
Nb 92.91 Nb.upf
Ge 72.64 Ge.upf
CELL_PARAMETERS angstrom
4.918 0.000 0.000
0.000 3.724 0.000
0.000 0.000 4.918
ATOMIC_POSITIONS angstrom
C 0.000 1.862 0.000
F 2.459 1.862 2.459
Nb 2.459 0.000 0.000
Ge 0.000 0.000 0.000
Nb 0.000 0.000 2.459
```



| no. | formation energy (no corrections) (meV/atom) |
| --- | --- |
| 1 | 2717.0 |
| 2 | 579.3 |
| 3 | 92.4 |
| 4 | -174.6 |
| 5 | 1607.7 |
| 6 | 918.6 |
| 7 | 883.1 |
| 8 | 1331.7 |
| 9 | 137.0 |
| 10 | 1740.5 |
| 11 | 1386.0 |